1.
Computed, not measured: a geometry-optimized Sm2TmGa3 structure at the PBE level of DFT.

Computed properties:
DFT total energy ... -4.399 eV/atom
DOS at the Fermi energy ... 2.49 states/eV/f.u.

The structure in CIF format:
```
data_Sm2TmGa3
_chemical_formula_sum 'Sm4 Tm2 Ga6'
_symmetry_space_group_name_H-M 'P 1'
_symmetry_Int_Tables_number 1
_cell_length_a 5.095
_cell_length_b 5.095
_cell_length_c 12.541
_cell_angle_alpha 90.00
_cell_angle_beta 90.00
_cell_angle_gamma 120.00
loop_
_symmetry_equiv_pos_as_xyz
'x,y,z'
loop_
_atom_site_label
_atom_site_type_symbol
_atom_site_fract_x
_atom_site_fract_y
_atom_site_fract_z
Tm1 Tm 0.667 0.333 0.334
Tm2 Tm 0.333 0.667 0.666
Sm1 Sm 0.000 0.000 0.000
Sm2 Sm 0.333 0.667 0.171
Sm3 Sm 0.000 0.000 0.500
Sm4 Sm 0.667 0.333 0.829
Ga1 Ga 0.667 0.333 0.085
Ga2 Ga 0.667 0.333 0.581
Ga3 Ga 0.000 0.000 0.253
Ga4 Ga 0.333 0.667 0.915
Ga5 Ga 0.000 0.000 0.747
Ga6 Ga 0.333 0.667 0.419
```

***

2.
Computed, not measured: a geometry-optimized SmYTmGa structure at the PBE level of DFT.

Computed properties:
DFT total energy ... -4.775 eV/atom
DOS at the Fermi energy ... 6.34 states/eV/f.u.

The structure in CIF format:
```
data_SmYTmGa
_chemical_formula_sum 'Sm1 Y1 Tm1 Ga1'
_symmetry_space_group_name_H-M 'P 1'
_symmetry_Int_Tables_number 1
_cell_length_a 5.342
_cell_length_b 5.342
_cell_length_c 5.342
_cell_angle_alpha 60.00
_cell_angle_beta 60.00
_cell_angle_gamma 60.00
loop_
_symmetry_equiv_pos_as_xyz
'x,y,z'
loop_
_atom_site_label
_atom_site_type_symbol
_atom_site_fract_x
_atom_site_fract_y
_atom_site_fract_z
Ga1 Ga 0.000 0.000 0.000
Y1 Y 0.750 0.750 0.750
Tm1 Tm 0.500 0.500 0.500
Sm1 Sm 0.250 0.250 0.250
```

***

3.
Computed, not measured: a geometry-optimized SmTmZnGa structure at the PBE level of DFT.

Computed properties:
DFT total energy ... -3.836 eV/atom
DOS at the Fermi energy ... 3.18 states/eV/f.u.

The structure in CIF format:
```
data_SmTmZnGa
_chemical_formula_sum 'Sm1 Tm1 Zn1 Ga1'
_symmetry_space_group_name_H-M 'P 1'
_symmetry_Int_Tables_number 1
_cell_length_a 5.074
_cell_length_b 5.074
_cell_length_c 5.074
_cell_angle_alpha 60.00
_cell_angle_beta 60.00
_cell_angle_gamma 60.00
loop_
_symmetry_equiv_pos_as_xyz
'x,y,z'
loop_
_atom_site_label
_atom_site_type_symbol
_atom_site_fract_x
_atom_site_fract_y
_atom_site_fract_z
Zn1 Zn 0.750 0.750 0.750
Sm1 Sm 0.500 0.500 0.500
Tm1 Tm 0.000 0.000 0.000
Ga1 Ga 0.250 0.250 0.250
```

***

4.
Computed, not measured: a geometry-optimized Sm2Tm2ZnGa4 structure at the PBE level of DFT.

Computed properties:
DFT total energy ... -3.774 eV/atom
DOS at the Fermi energy ... 7.59 states/eV/f.u.

The structure in CIF format:
```
data_Sm2Tm2ZnGa4
_chemical_formula_sum 'Sm2 Tm2 Zn1 Ga4'
_symmetry_space_group_name_H-M 'P 1'
_symmetry_Int_Tables_number 1
_cell_length_a 6.610
_cell_length_b 6.610
_cell_length_c 6.610
_cell_angle_alpha 96.52
_cell_angle_beta 116.31
_cell_angle_gamma 116.31
loop_
_symmetry_equiv_pos_as_xyz
'x,y,z'
loop_
_atom_site_label
_atom_site_type_symbol
_atom_site_fract_x
_atom_site_fract_y
_atom_site_fract_z
Ga1 Ga 0.000 0.244 0.756
Ga2 Ga 0.000 0.756 0.244
Ga3 Ga 0.488 0.244 0.244
Ga4 Ga 0.512 0.756 0.756
Tm1 Tm 0.500 0.750 0.250
Tm2 Tm 0.500 0.250 0.750
Zn1 Zn 0.000 0.000 0.000
Sm1 Sm 0.000 0.310 0.310
Sm2 Sm 0.000 0.690 0.690
```

***

5.
Computed, not measured: a geometry-optimized SmUGa structure at the PBE level of DFT.

Computed properties:
DFT total energy ... -6.366 eV/atom
DOS at the Fermi energy ... 5.16 states/eV/f.u.

The structure in CIF format:
```
data_SmUGa
_chemical_formula_sum 'Sm4 U4 Ga4'
_symmetry_space_group_name_H-M 'P 1'
_symmetry_Int_Tables_number 1
_cell_length_a 3.688
_cell_length_b 6.063
_cell_length_c 13.631
_cell_angle_alpha 90.00
_cell_angle_beta 90.00
_cell_angle_gamma 90.00
loop_
_symmetry_equiv_pos_as_xyz
'x,y,z'
loop_
_atom_site_label
_atom_site_type_symbol
_atom_site_fract_x
_atom_site_fract_y
_atom_site_fract_z
Sm1 Sm 0.750 0.325 0.218
Sm2 Sm 0.250 0.825 0.282
Sm3 Sm 0.750 0.175 0.718
Sm4 Sm 0.250 0.675 0.782
Ga1 Ga 0.250 0.089 0.065
Ga2 Ga 0.250 0.411 0.565
Ga3 Ga 0.750 0.911 0.935
Ga4 Ga 0.750 0.589 0.435
U1 U 0.750 0.088 0.452
U2 U 0.250 0.588 0.048
U3 U 0.750 0.412 0.952
U4 U 0.250 0.912 0.548
```

***

6.
Computed, not measured: a geometry-optimized SmU4Ga15 structure at the PBE level of DFT.

Computed properties:
DFT total energy ... -5.062 eV/atom
DOS at the Fermi energy ... 19.51 states/eV/f.u.

The structure in CIF format:
```
data_SmU4Ga15
_chemical_formula_sum 'Sm1 U4 Ga15'
_symmetry_space_group_name_H-M 'P 1'
_symmetry_Int_Tables_number 1
_cell_length_a 4.269
_cell_length_b 4.269
_cell_length_c 21.490
_cell_angle_alpha 90.00
_cell_angle_beta 90.00
_cell_angle_gamma 90.00
loop_
_symmetry_equiv_pos_as_xyz
'x,y,z'
loop_
_atom_site_label
_atom_site_type_symbol
_atom_site_fract_x
_atom_site_fract_y
_atom_site_fract_z
Ga1 Ga 0.500 0.000 0.500
Ga2 Ga 0.500 0.500 0.000
Ga3 Ga 0.500 0.000 0.103
Ga4 Ga 0.500 0.500 0.600
Ga5 Ga 0.000 0.500 0.699
Ga6 Ga 0.000 0.500 0.301
Ga7 Ga 0.000 0.500 0.897
Ga8 Ga 0.000 0.500 0.103
Ga9 Ga 0.500 0.000 0.699
Ga10 Ga 0.000 0.500 0.500
Ga11 Ga 0.500 0.000 0.897
Ga12 Ga 0.500 0.000 0.301
Ga13 Ga 0.500 0.500 0.400
Ga14 Ga 0.500 0.500 0.202
Ga15 Ga 0.500 0.500 0.798
U1 U 0.000 0.000 0.401
U2 U 0.000 0.000 0.201
U3 U 0.000 0.000 0.599
U4 U 0.000 0.000 0.799
Sm1 Sm 0.000 0.000 0.000
```

***

7.
Computed, not measured: a geometry-optimized SmUGa4 structure at the PBE level of DFT.

Computed properties:
DFT total energy ... -4.955 eV/atom
DOS at the Fermi energy ... 10.09 states/eV/f.u.

The structure in CIF format:
```
data_SmUGa4
_chemical_formula_sum 'Sm1 U1 Ga4'
_symmetry_space_group_name_H-M 'P 1'
_symmetry_Int_Tables_number 1
_cell_length_a 5.555
_cell_length_b 5.555
_cell_length_c 5.555
_cell_angle_alpha 60.00
_cell_angle_beta 60.00
_cell_angle_gamma 60.00
loop_
_symmetry_equiv_pos_as_xyz
'x,y,z'
loop_
_atom_site_label
_atom_site_type_symbol
_atom_site_fract_x
_atom_site_fract_y
_atom_site_fract_z
Ga1 Ga 0.625 0.124 0.625
Ga2 Ga 0.124 0.625 0.625
Ga3 Ga 0.625 0.625 0.625
Ga4 Ga 0.625 0.625 0.124
Sm1 Sm 0.250 0.250 0.250
U1 U 0.000 0.000 0.000
```

***

8.
Computed, not measured: a geometry-optimized SmUGa2 structure at the PBE level of DFT.

Computed properties:
DFT total energy ... -5.545 eV/atom
DOS at the Fermi energy ... 6.92 states/eV/f.u.

The structure in CIF format:
```
data_SmUGa2
_chemical_formula_sum 'Sm1 U1 Ga2'
_symmetry_space_group_name_H-M 'P 1'
_symmetry_Int_Tables_number 1
_cell_length_a 3.168
_cell_length_b 3.168
_cell_length_c 10.415
_cell_angle_alpha 81.25
_cell_angle_beta 81.25
_cell_angle_gamma 60.00
loop_
_symmetry_equiv_pos_as_xyz
'x,y,z'
loop_
_atom_site_label
_atom_site_type_symbol
_atom_site_fract_x
_atom_site_fract_y
_atom_site_fract_z
Ga1 Ga 0.251 0.251 0.246
Ga2 Ga 0.749 0.749 0.754
U1 U 0.000 0.000 0.000
Sm1 Sm 0.500 0.500 0.500
```